Here is a relaxed CaMn2Re crystal from Alexandria via LeMat-Bulk. Energies are from PBE.

Summary:
theoretical density	7.8	g/cm³
ΔH_f (0 K)	0.698	eV/atom
uncorrected energy	-7.499	eV per atom
space-group type	Immm, No. 71
ΔE to the lowest computed polymorph	0.325	eV per atom

a b c (Å): 5.4084 5.4084 5.4084
angles (deg): 145.94 124.70 66.57
Last column: nearest neighbours and their distance in Å.
Sites, in units of the cell vectors:
Ca  0.0000  0.0000  0.0000  4 Re 2.97, 8 Mn 3.06-3.15, 2 Ca 3.17
Mn  0.2895  0.7895  0.5000  2 Re 2.48
Mn  0.7105  0.2105  0.5000  2 Re 2.48
Re  0.5000  0.5000  0.0000  4 Mn 2.48

Here is a relaxed Nd4AsP2H crystal from Alexandria via LeMat-Bulk. Energies are from PBE.

Summary:
theoretical density	6.1	g/cm³
uncorrected energy	-6.007	eV per atom
space-group type	Cmcm, No. 63

a b c (Å): 7.0628 7.0628 13.9679
angles (deg): 90.00 90.00 146.00
Last column: nearest neighbours and their distance in Å.
Sites, in units of the cell vectors:
Nd  0.0000  0.0000  0.0000  4 P 2.90
Nd  0.0000  0.0000  0.5000  4 P 2.90
Nd  0.2707  0.7293  0.6203  1 H 2.40
Nd  0.2707  0.7293  0.8797  1 H 2.40
Nd  0.4458  0.5542  0.2500  2 H 2.47
Nd  0.5542  0.4458  0.7500  2 H 2.47
Nd  0.7293  0.2707  0.1203  1 H 2.40
Nd  0.7293  0.2707  0.3797  1 H 2.40
As  0.1074  0.8926  0.2500  6 Nd 3.00-3.20
As  0.8926  0.1074  0.7500  6 Nd 3.00-3.20
P  0.3638  0.6362  0.0625  6 Nd 2.84-2.90
P  0.3638  0.6362  0.4375  6 Nd 2.84-2.90
P  0.6362  0.3638  0.5625  6 Nd 2.84-2.90
P  0.6362  0.3638  0.9375  6 Nd 2.84-2.90
H  0.1546  0.8454  0.7500  4 Nd 2.40-2.47
H  0.8454  0.1546  0.2500  4 Nd 2.40-2.47

Here is a relaxed Sr2YVH crystal from Alexandria via LeMat-Bulk. Energies are from PBE.

Summary:
theoretical density	3.8	g/cm³
uncorrected energy	-4.097	eV per atom
space-group type	P4/mmm, No. 123

a b c (Å): 5.1066 5.1066 5.2619
angles (deg): 90.00 90.00 90.00
Last column: nearest neighbours and their distance in Å.
Sites, in units of the cell vectors:
Sr  0.0000  0.5000  0.0000  2 H 2.55
Sr  0.5000  0.0000  0.0000  2 H 2.55
Y  0.0000  0.0000  0.5000  2 H 2.63
V  0.5000  0.5000  0.5000  4 Y 3.61, 8 Sr 3.67
H  0.0000  0.0000  0.0000  4 Sr 2.55, 2 Y 2.63

Here is a relaxed ReAgIr crystal from Alexandria via LeMat-Bulk. Energies are from PBE.

Summary:
theoretical density	16.9	g/cm³
ΔH_f (0 K)	0.416	eV/atom
uncorrected energy	-7.637	eV per atom
space-group type	Fmm2, No. 42
ΔE to the lowest computed polymorph	0.203	eV per atom

a b c (Å): 7.6559 7.4205 2.7332
angles (deg): 84.45 74.74 20.81
Last column: nearest neighbours and their distance in Å.
Sites, in units of the cell vectors:
Re  0.0000  0.0000  0.0000  2 Ir 2.60, 6 Re 2.73-2.80, 2 Ag 2.91
Ag  0.3251  0.3251  0.6749  6 Ag 2.73-2.80, 2 Ir 2.90, 2 Re 2.91
Ir  0.6506  0.6506  0.3494  2 Re 2.60, 6 Ir 2.73-2.80, 2 Ag 2.90

- Which formula does entry 3 have?
  Sr2YVH